The following is a DFT calculation (PBE) of an optimized crystal structure of BeTlAg2.

Lattice parameters (Å, degrees): 4.1199 4.1199 8.4159 90.00 90.00 90.00
Space group I4/mmm (No. 139)
Symmetry-distinct sites (fractional):
Be 0.0000 0.0000 0.0000
Tl 0.0000 0.0000 0.5000
Ag 0.0000 0.5000 0.2500

## Properties
The calculation puts the total energy at -20.30 eV for the cell shown. Its size of the total moment is 0.00 μB/f.u. The formation energy from the elements is 0.411 eV per atom. The value obtained for the distance to the lowest polymorph of the same formula is 182 meV/atom.